(1)
{"formula": "PrMg4Sc", "functional": "PBE-GGA", "state": "optimized geometry", "de_polymorph_kj_per_mol_atoms": 1.33, "lattice_angstrom": [[6.001, 0.000, 0.000], [3.001, 5.197, 0.000], [3.001, 1.732, 4.900]], "species": ["Pr", "Sc", "Mg", "Mg", "Mg", "Mg"], "fractional_positions": [[0.250, 0.250, 0.250], [0.000, 0.000, 0.000], [0.625, 0.625, 0.124], [0.625, 0.124, 0.625], [0.625, 0.625, 0.625], [0.124, 0.625, 0.625]]}

(2)
{"formula": "PrMgSc", "functional": "PBE-GGA", "state": "optimized geometry", "de_polymorph_kj_per_mol_atoms": 1.56, "lattice_angstrom": [[3.424, 0.002, 0.263], [-0.003, 3.434, 0.009], [-1.094, -0.037, 14.197]], "species": ["Pr", "Pr", "Mg", "Mg", "Sc", "Sc"], "fractional_positions": [[0.873, 0.291, 0.502], [0.373, 0.791, 0.011], [0.871, 0.293, 0.186], [0.371, 0.793, 0.327], [0.874, 0.289, 0.833], [0.374, 0.789, 0.679]]}

(3)
{"formula": "Pr6MgSc", "functional": "PBE-GGA", "state": "optimized geometry", "de_polymorph_kj_per_mol_atoms": 0.00, "lattice_angstrom": [[5.079, 0.000, 0.000], [0.000, 5.079, 0.000], [0.000, 0.000, 10.178]], "species": ["Pr", "Pr", "Pr", "Pr", "Pr", "Pr", "Mg", "Sc"], "fractional_positions": [[0.500, 0.500, 0.000], [0.500, 0.500, 0.500], [0.500, 0.000, 0.252], [0.500, 0.000, 0.748], [0.000, 0.500, 0.252], [0.000, 0.500, 0.748], [0.000, 0.000, 0.000], [0.000, 0.000, 0.500]]}

(4)
{"formula": "Pr3Mg2Sc", "functional": "PBE-GGA", "state": "optimized geometry", "lattice_angstrom": [[3.859, 0.000, 0.000], [0.000, 3.859, 0.000], [0.000, 0.000, 12.153]], "species": ["Pr", "Pr", "Pr", "Mg", "Mg", "Sc"], "fractional_positions": [[0.000, 0.000, 0.000], [0.000, 0.000, 0.672], [0.000, 0.000, 0.328], [0.500, 0.500, 0.835], [0.500, 0.500, 0.165], [0.500, 0.500, 0.500]]}

Number 1: M_tot 0.01 μB per formula unit, energy relative to the elements -0.0388 eV per atom. Number 2: M_tot 0.00 μB per formula unit, energy relative to the elements 0.0020 eV per atom. Number 3: M_tot 0.00 μB per formula unit, energy relative to the elements 0.0084 eV per atom. Number 4: M_tot 0.00 μB per formula unit, energy relative to the elements -0.0386 eV per atom.